(1)
! CaTc2As, relaxed, DFT PBE-GGA; values from VASP
&SYSTEM
  ibrav = 0, nat = 4, ntyp = 3
/
ATOMIC_SPECIES
As 74.92 As.upf
Tc 98.00 Tc.upf
Ca 40.08 Ca.upf
CELL_PARAMETERS angstrom
5.483 0.000 0.000
2.790 4.720 0.000
-4.137 -2.360 2.717
ATOMIC_POSITIONS crystal
As 0.250 0.750 0.500
Tc 0.500 0.500 0.000
Ca 0.750 0.250 0.500
Tc 0.000 0.000 0.000
! Crystal system   tetragonal
! Final energy   -6.4680 eV per atom
! Density   7.34 g/cm3


(2)
! Er5Ni2Ge, relaxed, DFT PBE-GGA; values from VASP
&SYSTEM
  ibrav = 0, nat = 16, ntyp = 3
/
ATOMIC_SPECIES
Er 167.26 Er.upf
Ni 58.69 Ni.upf
Ge 72.64 Ge.upf
CELL_PARAMETERS angstrom
1.460 -7.061 -1.960
2.450 -1.413 6.916
-7.929 2.512 -0.714
ATOMIC_POSITIONS crystal
Er 0.520 0.697 0.718
Er 0.000 0.000 0.000
Er 0.980 0.480 0.282
Ni 0.373 0.873 0.000
Er 0.803 0.980 0.282
Er 0.197 0.020 0.718
Ni 0.627 0.127 0.000
Er 0.697 0.197 0.718
Ni 0.873 0.627 0.000
Er 0.480 0.303 0.282
Er 0.303 0.803 0.282
Ge 0.750 0.750 0.500
Ni 0.127 0.373 0.000
Er 0.020 0.520 0.718
Er 0.500 0.500 0.000
Ge 0.250 0.250 0.500
! Crystal system   tetragonal
! Final energy   -5.3662 eV per atom
! Density   9.45 g/cm3


- Which formula does entry 1 have?
  CaTc2As


- Among the records above, which one has the highest final energy?
  Er5Ni2Ge


Copy entry 2 word for word.
! Er5Ni2Ge, relaxed, DFT PBE-GGA; values from VASP
&SYSTEM
  ibrav = 0, nat = 16, ntyp = 3
/
ATOMIC_SPECIES
Er 167.26 Er.upf
Ni 58.69 Ni.upf
Ge 72.64 Ge.upf
CELL_PARAMETERS angstrom
1.460 -7.061 -1.960
2.450 -1.413 6.916
-7.929 2.512 -0.714
ATOMIC_POSITIONS crystal
Er 0.520 0.697 0.718
Er 0.000 0.000 0.000
Er 0.980 0.480 0.282
Ni 0.373 0.873 0.000
Er 0.803 0.980 0.282
Er 0.197 0.020 0.718
Ni 0.627 0.127 0.000
Er 0.697 0.197 0.718
Ni 0.873 0.627 0.000
Er 0.480 0.303 0.282
Er 0.303 0.803 0.282
Ge 0.750 0.750 0.500
Ni 0.127 0.373 0.000
Er 0.020 0.520 0.718
Er 0.500 0.500 0.000
Ge 0.250 0.250 0.500
! Crystal system   tetragonal
! Final energy   -5.3662 eV per atom
! Density   9.45 g/cm3